1.
Material: Er4Tm3Pu
Method: DFT, PBE-GGA
State: optimized geometry

The value obtained for the formation energy is 52.0 meV per atom. For the size of the total moment, the calculation gives 0.756 μB per atom.

The space group is C2/m (No. 12) and the conventional cell measures 15.2158, 3.4740 and 11.5462 Å, with angles of 90.00, 128.49 and 90.00 degrees. The distinct sites, in fractional coordinates, are Er at (0.1226, 0.0000, 0.3756), Er at (0.1246, 0.5000, 0.8738), Tm at (0.0000, 0.0000, 0.0000), Tm at (0.2487, 0.0000, 0.7484) and Pu at (0.0000, 0.5000, 0.5000).


2.
Material: Er3Tm2Pu
Method: DFT, PBE-GGA
State: optimized geometry

The value obtained for the formation energy is 139.5 meV per atom. For the size of the total moment, the calculation gives 1.324 μB per atom.

The space group is Cmmm (No. 65) and the conventional cell measures 5.6559, 11.2338 and 5.6402 Å, with angles of 90.00, 90.00 and 90.00 degrees. The distinct sites, in fractional coordinates, are Er at (0.0000, 0.0000, 0.0000), Er at (0.0000, 0.3376, 0.0000), Tm at (0.0000, 0.1667, 0.5000) and Pu at (0.0000, 0.5000, 0.5000).


3.
Material: ErTmPu2
Method: DFT, PBE-GGA
State: optimized geometry

The value obtained for the formation energy is 159.8 meV per atom. For the size of the total moment, the calculation gives 3.199 μB per atom.

The space group is P4/mmm (No. 123) and the conventional cell measures 4.7765, 4.7765 and 5.0046 Å, with angles of 90.00, 90.00 and 90.00 degrees. The distinct sites, in fractional coordinates, are Er at (0.0000, 0.0000, 0.0000), Tm at (0.5000, 0.5000, 0.0000) and Pu at (0.0000, 0.5000, 0.5000).


4.
Material: Er9Tm4Pu
Method: DFT, PBE-GGA
State: optimized geometry

The value obtained for the formation energy is 187.5 meV per atom. For the size of the total moment, the calculation gives 0.364 μB per atom.

The space group is P6_3/mmc (No. 194) and the conventional cell measures 9.5769, 9.5769 and 10.9028 Å, with angles of 90.00, 90.00 and 120.00 degrees. The distinct sites, in fractional coordinates, are Er at (0.0746, 0.5373, 0.2500), Er at (0.2094, 0.4188, 0.5323), Tm at (0.0000, 0.0000, 0.0000), Tm at (0.1120, 0.2241, 0.2500) and Pu at (0.3333, 0.6667, 0.7500).